# 1
TaAg2WAu, single point on PBEsol structure, DFT meta-GGA SCAN; formation energy = 2.0011 eV/atom; SG = P4/mmm, No. 123
1.0
4.753 0.000 0.000
0.000 4.753 0.000
0.000 0.000 4.870
Ta Ag W Au
1 2 1 1
Direct
0.000 0.000 0.000
0.000 0.500 0.500
0.500 0.000 0.500
0.500 0.500 0.000
0.500 0.500 0.500

***

# 2
TcAgAu2, single point on PBEsol structure, DFT meta-GGA SCAN; formation energy = 0.1939 eV/atom; SG = R-3m, No. 166
1.0
2.806 0.000 0.000
-1.403 2.430 0.000
0.000 0.000 28.004
Tc Ag Au
3 3 6
Direct
0.000 0.000 0.000
0.333 0.667 0.667
0.667 0.333 0.333
0.000 0.000 0.500
0.333 0.667 0.167
0.667 0.333 0.833
0.000 0.000 0.252
0.000 0.000 0.748
0.333 0.667 0.414
0.333 0.667 0.919
0.667 0.333 0.081
0.667 0.333 0.586

***

# 3
TcAgAu2, single point on PBEsol structure, DFT meta-GGA SCAN; formation energy = 0.2181 eV/atom; SG = Cmmm, No. 65
1.0
6.039 0.000 0.000
0.000 7.870 0.000
0.000 0.000 2.701
Tc Ag Au
2 2 4
Direct
0.000 0.000 0.000
0.500 0.500 0.000
0.000 0.500 0.000
0.500 0.000 0.000
0.250 0.250 0.500
0.250 0.750 0.500
0.750 0.250 0.500
0.750 0.750 0.500

***

# 4
Tc2AgAu, single point on PBEsol structure, DFT meta-GGA SCAN; formation energy = 0.2606 eV/atom; SG = Cmm2, No. 35
1.0
2.870 0.000 0.000
0.000 4.564 0.000
0.000 0.000 9.488
Tc Ag Au
4 2 2
Direct
0.000 0.000 0.000
0.000 0.500 0.219
0.500 0.000 0.219
0.500 0.500 0.000
0.000 0.000 0.478
0.500 0.500 0.478
0.000 0.500 0.740
0.500 0.000 0.740

***

Please write out number 1 again, unchanged.
TaAg2WAu, single point on PBEsol structure, DFT meta-GGA SCAN; formation energy = 2.0011 eV/atom; SG = P4/mmm, No. 123
1.0
4.753 0.000 0.000
0.000 4.753 0.000
0.000 0.000 4.870
Ta Ag W Au
1 2 1 1
Direct
0.000 0.000 0.000
0.000 0.500 0.500
0.500 0.000 0.500
0.500 0.500 0.000
0.500 0.500 0.500

***

- The highest formation energy belongs to which entry?
  TaAg2WAu

***

- Among the records above, which one has the highest formation energy?
  TaAg2WAu